A plane-wave DFT calculation with PBE was carried out for crystalline ZnPCl2F at its relaxed geometry.

Unit cell a=5.416 b=5.416 c=3.606 alpha=90.00 beta=90.00 gamma=90.00
Positions (direct):
Zn1 0.000 0.000 0.000
P1 0.500 0.500 0.000
Cl1 0.000 0.500 0.500
Cl2 0.500 0.000 0.500
F1 0.500 0.500 0.500

Output
* density: 2925 kg/m³
* relative energy among the computed polymorphs: 0.000 eV per atom
* space-group type: P4/mmm
* raw formation energy: 0.079 eV/atom